Tm2TlPb9 | PBE | optimized geometry

a = 4.8708 Å, b = 4.8708 Å, c = 15.0148 Å
α = 90.00°, β = 90.00°, γ = 90.00°
Closest atoms and distances in Å follow each position.
Atoms (fractional coordinates):
Tm 0.0000 0.0000 0.1515  12 Pb 3.33-3.58
Tm 0.0000 0.0000 0.8485  12 Pb 3.33-3.58
Tl 0.0000 0.0000 0.5000  12 Pb 3.44-3.57
Pb 0.0000 0.5000 0.0000  4 Tm 3.33, 8 Pb 3.44-3.48
Pb 0.0000 0.5000 0.3265  8 Pb 3.43-3.57, 2 Tl 3.57, 2 Tm 3.58
Pb 0.0000 0.5000 0.6735  8 Pb 3.43-3.57, 2 Tl 3.57, 2 Tm 3.58
Pb 0.5000 0.0000 0.0000  4 Tm 3.33, 8 Pb 3.44-3.48
Pb 0.5000 0.0000 0.3265  8 Pb 3.43-3.57, 2 Tl 3.57, 2 Tm 3.58
Pb 0.5000 0.0000 0.6735  8 Pb 3.43-3.57, 2 Tl 3.57, 2 Tm 3.58
Pb 0.5000 0.5000 0.1652  8 Pb 3.43-3.48, 4 Tm 3.45
Pb 0.5000 0.5000 0.5000  4 Tl 3.44, 8 Pb 3.57
Pb 0.5000 0.5000 0.8348  8 Pb 3.43-3.48, 4 Tm 3.45

Energy relative to the elements ... -143.4 meV/atom
Space group ... P4/mmm